{"formula": "Na2YN2", "functional": "PBE", "state": "optimized geometry", "sg": "No. 127", "energy_ry_per_atom": -0.36968, "lattice_angstrom": [[-1.799, 2.730, 5.652], [-5.631, -3.298, -0.200], [1.649, -2.933, 1.942]], "species": ["Na", "Na", "Na", "Na", "N", "N", "N", "N", "Y", "Y"], "fractional_positions": [[0.368, 0.132, 0.500], [0.868, 0.368, 0.500], [0.132, 0.632, 0.500], [0.632, 0.868, 0.500], [0.302, 0.802, 0.000], [0.698, 0.198, 0.000], [0.802, 0.698, 0.000], [0.198, 0.302, 0.000], [0.000, 0.000, 0.000], [0.500, 0.500, 0.000]]}

{"formula": "NaYN", "functional": "PBE", "state": "optimized geometry", "sg": "No. 12", "energy_ry_per_atom": -0.43624, "lattice_angstrom": [[-0.838, -2.193, -2.707], [1.183, -2.786, 1.918], [-7.938, -3.638, 3.002]], "species": ["Na", "Na", "Y", "Y", "N", "N"], "fractional_positions": [[0.233, 0.767, 0.000], [0.767, 0.233, 0.000], [0.684, 0.684, 0.630], [0.316, 0.316, 0.370], [0.813, 0.813, 0.376], [0.187, 0.187, 0.624]]}

{"formula": "NaY3N", "functional": "PBE", "state": "optimized geometry", "sg": "No. 221", "relative_energy_kcal_per_mol_atoms": 0.00, "lattice_angstrom": [[-1.558, 2.392, -4.047], [-4.691, -1.077, 1.169], [-0.315, 4.201, 2.605]], "species": ["Y", "Y", "Y", "Na", "N"], "fractional_positions": [[0.000, 0.000, 0.500], [0.000, 0.500, 0.000], [0.500, 0.000, 0.000], [0.500, 0.500, 0.500], [0.000, 0.000, 0.000]]}

no.,total magnetization (μB per cell)
1,2.47
2,0.00
3,0.00